Here is an optimized crystal structure of LaTc2Ru from Alexandria. Energies are from PBE.

Structure (POSCAR):
```
LaTc2Ru
1.0
9.977 -0.018 -0.011
9.569 2.823 -0.011
9.569 1.373 2.466
Tc La Ru
2 1 1
Cartesian
0.371 0.053 0.031
14.186 2.036 1.192
7.279 1.045 0.611
21.836 3.134 1.834
```

Output
Crystal system: trigonal
Mass density in Mg/m³: 10.3
Calculated total energy in eV/atom: -8.145
Total moment in μB per cell: 0.13
ΔE_f in kJ/mol of formula units: 227.3